Record 1
Ni2SnW2 | GGA-PBE | optimized geometry

Cell lengths 3.702, 3.702, 11.968 Å; angles 90.00, 90.00, 90.00 degrees
Space group I4/mmm (No. 139)
One atom of each set of equivalent atoms:
Ni (0.000, 0.000, 0.098)
Sn (0.000, 0.000, 0.500)
W (0.000, 0.500, 0.250)

## Properties
- calculated total energy (eV per atom) = -7.855
- M_tot (μB per cell) = 0.000
- energy above the lowest structure with this stoichiometry (meV/atom) = 120


Record 2
DyY4P5 | GGA-PBE | optimized geometry

Cell lengths 4.014, 5.672, 20.058 Å; angles 90.00, 90.00, 90.00 degrees
Space group Immm (No. 71)
One atom of each set of equivalent atoms:
Dy (0.000, 0.000, 0.000)
Y (0.000, 0.000, 0.200)
Y (0.000, 0.000, 0.400)
P (0.000, 0.500, 0.000)
P (0.000, 0.500, 0.200)
P (0.000, 0.500, 0.400)

## Properties
- calculated total energy (eV per atom) = -7.377
- M_tot (μB per cell) = 0.000


Record 3
TlTcRhS3 | GGA-PBE | optimized geometry

Cell lengths 7.810, 3.414, 10.060 Å; angles 90.00, 107.08, 90.00 degrees
Space group P2_1/m (No. 11)
One atom of each set of equivalent atoms:
Tl (0.036, 0.250, 0.223)
Tc (0.477, 0.250, 0.882)
Rh (0.444, 0.750, 0.641)
S (0.255, 0.250, 0.671)
S (0.312, 0.250, 0.035)
S (0.357, 0.750, 0.391)

## Properties
- calculated total energy (eV per atom) = -5.808
- M_tot (μB per cell) = 0.000
- formation energy without anion corrections (meV per atom) = -397


Record 4
Mn2IBr | GGA-PBE | optimized geometry

Cell lengths 7.015, 7.015, 7.015 Å; angles 90.00, 90.00, 90.00 degrees
Space group Fm-3m (No. 225)
One atom of each set of equivalent atoms:
Mn (0.250, 0.250, 0.250)
I (0.000, 0.000, 0.000)
Br (0.000, 0.000, 0.500)

## Properties
- calculated total energy (eV per atom) = -4.964
- M_tot (μB per cell) = 33.080
- formation energy without anion corrections (meV per atom) = 427


Record 5
ZrPaGa2 | GGA-PBE | optimized geometry

Cell lengths 3.152, 3.152, 8.149 Å; angles 90.00, 90.00, 90.00 degrees
Space group P4/mmm (No. 123)
One atom of each set of equivalent atoms:
Zr (0.000, 0.000, 0.000)
Pa (0.000, 0.000, 0.500)
Ga (0.500, 0.500, 0.237)

## Properties
- calculated total energy (eV per atom) = -6.409
- M_tot (μB per cell) = 0.531
- energy above the lowest structure with this stoichiometry (meV/atom) = 0


Record 6
Tb6Sm12Cd | GGA-PBE | optimized geometry

Cell lengths 12.0005, 12.0005, 15.1471 Å; angles 90.00, 90.00, 120.00 degrees
Space group R-3 (No. 148, hexagonal axes)
One atom of each set of equivalent atoms:
Tb (0.0223, 0.5918, 0.1902)
Sm (0.0075, 0.8302, 0.3133)
Sm (0.0472, 0.1987, 0.9154)
Cd (0.0000, 0.0000, 0.5000)

## Properties
- calculated total energy (eV per atom) = -4.392
- M_tot (μB per cell) = 0.002
- energy above the lowest structure with this stoichiometry (meV/atom) = 0